# 1
## Be11Ag3 (PBE)

Data for crystalline Be11Ag3 at its relaxed geometry.

E_tot = -3.369 eV/atom

Unit cell a=5.748 b=5.748 c=5.930 alpha=118.55 beta=118.55 gamma=66.69
Fractional coordinates of all 14 atoms:
Ag (0.020, 0.020, 0.824)
Ag (0.460, 0.460, 0.824)
Be (0.022, 0.375, 0.666)
Be (0.954, 0.954, 0.380)
Be (0.536, 0.916, 0.074)
Be (0.276, 0.627, 0.460)
Be (0.766, 0.179, 0.126)
Be (0.627, 0.276, 0.460)
Be (0.179, 0.766, 0.126)
Be (0.212, 0.212, 0.330)
Be (0.916, 0.536, 0.074)
Ag (0.675, 0.675, 0.403)
Be (0.328, 0.328, 0.075)
Be (0.375, 0.022, 0.666)

# 2
## Be2Ag (PBE)

Data for crystalline Be2Ag at its relaxed geometry.

E_tot = -2.864 eV/atom

Unit cell a=3.868 b=3.868 c=3.868 alpha=60.00 beta=60.00 gamma=60.00
Fractional coordinates of all 3 atoms:
Ag (0.000, 0.000, 0.000)
Be (0.250, 0.250, 0.250)
Be (0.750, 0.750, 0.750)

# 3
## Be2Ag (PBE)

Data for crystalline Be2Ag at its relaxed geometry.

E_tot = -3.418 eV/atom

Unit cell a=4.523 b=4.523 c=4.523 alpha=60.00 beta=60.00 gamma=60.00
Fractional coordinates of all 6 atoms:
Ag (0.000, 0.000, 0.000)
Ag (0.250, 0.250, 0.250)
Be (0.625, 0.625, 0.125)
Be (0.625, 0.125, 0.625)
Be (0.625, 0.625, 0.625)
Be (0.125, 0.625, 0.625)

# 4
## BeAgBiPt (PBE)

Data for crystalline BeAgBiPt at its relaxed geometry.

E_tot = -3.886 eV/atom

Unit cell a=4.678 b=4.678 c=4.678 alpha=60.00 beta=60.00 gamma=60.00
Fractional coordinates of all 4 atoms:
Bi (0.250, 0.250, 0.250)
Ag (0.000, 0.000, 0.000)
Pt (0.500, 0.500, 0.500)
Be (0.750, 0.750, 0.750)

# 5
## BeAgBiPt (PBE)

Data for crystalline BeAgBiPt at its relaxed geometry.

E_tot = -3.826 eV/atom

Unit cell a=4.687 b=4.687 c=4.687 alpha=60.00 beta=60.00 gamma=60.00
Fractional coordinates of all 4 atoms:
Bi (0.000, 0.000, 0.000)
Ag (0.500, 0.500, 0.500)
Pt (0.250, 0.250, 0.250)
Be (0.750, 0.750, 0.750)

# 6
## BeCdAg2 (PBE)

Data for crystalline BeCdAg2 at its relaxed geometry.

E_tot = -2.346 eV/atom

Unit cell a=4.534 b=4.534 c=4.534 alpha=60.00 beta=60.00 gamma=60.00
Fractional coordinates of all 4 atoms:
Be (0.500, 0.500, 0.500)
Ag (0.000, 0.000, 0.000)
Cd (0.250, 0.250, 0.250)
Ag (0.750, 0.750, 0.750)

# 7
## BeCdAg (PBE)

Data for crystalline BeCdAg at its relaxed geometry.

E_tot = -2.192 eV/atom

Unit cell a=4.180 b=4.180 c=4.180 alpha=60.00 beta=60.00 gamma=60.00
Fractional coordinates of all 3 atoms:
Be (0.000, 0.000, 0.000)
Cd (0.750, 0.750, 0.750)
Ag (0.250, 0.250, 0.250)

# 8
## K2BeAgCl6 (PBE)

Data for crystalline K2BeAgCl6 at its relaxed geometry.

E_tot = -3.146 eV/atom

Unit cell a=6.893 b=6.893 c=6.893 alpha=60.00 beta=60.00 gamma=60.00
Fractional coordinates of all 10 atoms:
Ag (0.500, 0.500, 0.500)
Cl (0.235, 0.765, 0.235)
Cl (0.235, 0.765, 0.765)
Cl (0.765, 0.235, 0.765)
K (0.250, 0.250, 0.250)
K (0.750, 0.750, 0.750)
Cl (0.235, 0.235, 0.765)
Cl (0.765, 0.765, 0.235)
Be (0.000, 0.000, 0.000)
Cl (0.765, 0.235, 0.235)